1.
VASP calculation (GGA-PBE) on Li3La2PuS6 after structural relaxation.

```
data_Li3La2PuS6
_chemical_formula_sum 'Li6 La4 Pu2 S12'
_space_group_name_H-M_alt 'C 1 2/m 1'
_space_group_IT_number 12
_cell_length_a 7.092
_cell_length_b 12.383
_cell_length_c 6.572
_cell_angle_alpha 90.00
_cell_angle_beta 110.36
_cell_angle_gamma 90.00
loop_
_space_group_symop_operation_xyz
'x,y,z'
'-x,-y,-z'
'-x,y,-z'
'x,-y,z'
'x+1/2,y+1/2,z'
'-x+1/2,-y+1/2,-z'
'-x+1/2,y+1/2,-z'
'x+1/2,-y+1/2,z'
loop_
_atom_site_label
_atom_site_fract_x
_atom_site_fract_y
_atom_site_fract_z
_atom_site_occupancy
Li1 0.000 0.000 0.000 1
Li2 0.000 0.351 0.000 1
La1 0.000 0.168 0.500 1
Pu1 0.000 0.500 0.500 1
S1 0.243 0.339 0.755 1
S2 0.243 0.500 0.247 1
```

DOS(E_F) in states/eV per atom: 0.971
ΔE_f (raw) in eV per atom: -1.717

***

2.
VASP calculation (GGA-PBE) on Li3LaPu2S6 after structural relaxation.

```
data_Li3LaPu2S6
_chemical_formula_sum 'Li6 La2 Pu4 S12'
_space_group_name_H-M_alt 'C 1 2/m 1'
_space_group_IT_number 12
_cell_length_a 6.980
_cell_length_b 12.122
_cell_length_c 6.552
_cell_angle_alpha 90.00
_cell_angle_beta 110.50
_cell_angle_gamma 90.00
loop_
_space_group_symop_operation_xyz
'x,y,z'
'-x,-y,-z'
'-x,y,-z'
'x,-y,z'
'x+1/2,y+1/2,z'
'-x+1/2,-y+1/2,-z'
'-x+1/2,y+1/2,-z'
'x+1/2,-y+1/2,z'
loop_
_atom_site_label
_atom_site_fract_x
_atom_site_fract_y
_atom_site_fract_z
_atom_site_occupancy
Li1 0.000 0.000 0.000 1
Li2 0.000 0.325 0.000 1
La1 0.000 0.500 0.500 1
Pu1 0.000 0.166 0.500 1
S1 0.238 0.000 0.755 1
S2 0.245 0.173 0.248 1
```

DOS(E_F) in states/eV per atom: 1.455
ΔE_f (raw) in eV per atom: -1.631

***

3.
VASP calculation (GGA-PBE) on Li3La2PuSe6 after structural relaxation.

```
data_Li3La2PuSe6
_chemical_formula_sum 'Li6 La4 Pu2 Se12'
_space_group_name_H-M_alt 'C 1 2/m 1'
_space_group_IT_number 12
_cell_length_a 7.374
_cell_length_b 12.793
_cell_length_c 6.910
_cell_angle_alpha 90.00
_cell_angle_beta 110.62
_cell_angle_gamma 90.00
loop_
_space_group_symop_operation_xyz
'x,y,z'
'-x,-y,-z'
'-x,y,-z'
'x,-y,z'
'x+1/2,y+1/2,z'
'-x+1/2,-y+1/2,-z'
'-x+1/2,y+1/2,-z'
'x+1/2,-y+1/2,z'
loop_
_atom_site_label
_atom_site_fract_x
_atom_site_fract_y
_atom_site_fract_z
_atom_site_occupancy
Li1 0.000 0.000 0.000 1
Li2 0.000 0.342 0.000 1
La1 0.000 0.167 0.500 1
Pu1 0.000 0.500 0.500 1
Se1 0.241 0.500 0.243 1
Se2 0.248 0.338 0.760 1
```

DOS(E_F) in states/eV per atom: 1.092
ΔE_f (raw) in eV per atom: -1.598

***

4.
VASP calculation (GGA-PBE) on LiLa4Pu3Se8 after structural relaxation.

```
data_LiLa4Pu3Se8
_chemical_formula_sum 'Li3 La12 Pu9 Se24'
_space_group_name_H-M_alt 'R -3 m'
_space_group_IT_number 166
_space_group_name_Hall '-R 3 2"'
_cell_length_a 8.4658
_cell_length_b 8.4658
_cell_length_c 20.6321
_cell_angle_alpha 90.00
_cell_angle_beta 90.00
_cell_angle_gamma 120.00
loop_
_atom_site_label
_atom_site_fract_x
_atom_site_fract_y
_atom_site_fract_z
_atom_site_occupancy
Li1 0.0000 0.0000 0.0000 1
La1 0.0000 0.0000 0.5000 1
La2 0.0000 0.5000 0.5000 1
Pu1 0.0000 0.5000 0.0000 1
Se1 0.0000 0.0000 0.2543 1
Se2 0.0043 0.5022 0.7453 1
```

DOS(E_F) in states/eV per atom: 1.865
ΔE_f (raw) in eV per atom: -1.750

***

5.
VASP calculation (GGA-PBE) on LiLaPuTc after structural relaxation.

```
data_LiLaPuTc
_chemical_formula_sum 'Li4 La4 Pu4 Tc4'
_space_group_name_H-M_alt 'F -4 3 m'
_space_group_IT_number 216
_space_group_name_Hall 'F -4 2 3'
_cell_length_a 7.073
_cell_length_b 7.073
_cell_length_c 7.073
_cell_angle_alpha 90.00
_cell_angle_beta 90.00
_cell_angle_gamma 90.00
loop_
_atom_site_label
_atom_site_fract_x
_atom_site_fract_y
_atom_site_fract_z
_atom_site_occupancy
Li1 0.000 0.000 0.000 1
La1 0.250 0.250 0.750 1
Pu1 0.250 0.250 0.250 1
Tc1 0.000 0.000 0.500 1
```

DOS(E_F) in states/eV per atom: 2.722
Formation energy from the elements in eV/atom: 0.197

***

6.
VASP calculation (GGA-PBE) on LiLa4Pu3Te8 after structural relaxation.

```
data_LiLa4Pu3Te8
_chemical_formula_sum 'Li2 La8 Pu6 Te16'
_space_group_name_H-M_alt 'C 1 2/m 1'
_space_group_IT_number 12
_cell_length_a 15.537
_cell_length_b 9.019
_cell_length_c 8.999
_cell_angle_alpha 90.00
_cell_angle_beta 124.82
_cell_angle_gamma 90.00
loop_
_space_group_symop_operation_xyz
'x,y,z'
'-x,-y,-z'
'-x,y,-z'
'x,-y,z'
'x+1/2,y+1/2,z'
'-x+1/2,-y+1/2,-z'
'-x+1/2,y+1/2,-z'
'x+1/2,-y+1/2,z'
loop_
_atom_site_label
_atom_site_fract_x
_atom_site_fract_y
_atom_site_fract_z
_atom_site_occupancy
Li1 0.000 0.000 0.000 1
La1 0.000 0.000 0.500 1
La2 0.000 0.500 0.500 1
La3 0.250 0.250 0.000 1
Pu1 0.000 0.500 0.000 1
Pu2 0.250 0.250 0.500 1
Te1 0.003 0.246 0.243 1
Te2 0.243 0.000 0.250 1
Te3 0.247 0.500 0.254 1
```

DOS(E_F) in states/eV per atom: 2.757
ΔE_f (raw) in eV per atom: -1.343

***

7.
VASP calculation (GGA-PBE) on LiLaPuZn after structural relaxation.

```
data_LiLaPuZn
_chemical_formula_sum 'Li4 La4 Pu4 Zn4'
_space_group_name_H-M_alt 'F -4 3 m'
_space_group_IT_number 216
_space_group_name_Hall 'F -4 2 3'
_cell_length_a 7.406
_cell_length_b 7.406
_cell_length_c 7.406
_cell_angle_alpha 90.00
_cell_angle_beta 90.00
_cell_angle_gamma 90.00
loop_
_atom_site_label
_atom_site_fract_x
_atom_site_fract_y
_atom_site_fract_z
_atom_site_occupancy
Li1 0.000 0.000 0.000 1
La1 0.250 0.250 0.250 1
Pu1 0.250 0.250 0.750 1
Zn1 0.000 0.000 0.500 1
```

DOS(E_F) in states/eV per atom: 2.652
Formation energy from the elements in eV/atom: 0.083

***

8.
VASP calculation (GGA-PBE) on RbLi3La after structural relaxation.

```
data_RbLi3La
_chemical_formula_sum 'Rb1 Li3 La1'
_space_group_name_H-M_alt 'P m -3 m'
_space_group_IT_number 221
_space_group_name_Hall '-P 4 2 3'
_cell_length_a 5.487
_cell_length_b 5.487
_cell_length_c 5.487
_cell_angle_alpha 90.00
_cell_angle_beta 90.00
_cell_angle_gamma 90.00
loop_
_atom_site_label
_atom_site_fract_x
_atom_site_fract_y
_atom_site_fract_z
_atom_site_occupancy
Rb1 0.000 0.000 0.000 1
Li1 0.000 0.000 0.500 1
La1 0.500 0.500 0.500 1
```

DOS(E_F) in states/eV per atom: 1.323
E above lowest polymorph in eV per atom: 0.000
Formation energy from the elements in eV/atom: 0.737